# 1
Density functional theory data (PBE) for a relaxed structure of Mg3TiCl.

Properties
The calculation puts the magnetization at 2.890 Bohr magnetons per cell. Its raw formation energy is 744 meV/atom. As for the total energy: -0.0794 Ha/atom. Its energy relative to the lowest polymorph listed for this composition is 445 meV/atom.

Structure (CIF):
```
data_Mg3TiCl
_chemical_formula_sum 'Mg3 Ti1 Cl1'
_cell_length_a 5.645
_cell_length_b 5.645
_cell_length_c 5.645
_cell_angle_alpha 90.00
_cell_angle_beta 90.00
_cell_angle_gamma 90.00
_symmetry_space_group_name_H-M 'P 1'
_symmetry_Int_Tables_number 1
loop_
_symmetry_equiv_pos_as_xyz
'x,y,z'
loop_
_atom_site_label
_atom_site_fract_x
_atom_site_fract_y
_atom_site_fract_z
Mg1 0.000 0.500 0.000
Cl1 0.500 0.500 0.500
Mg2 0.000 0.000 0.500
Mg3 0.500 0.000 0.000
Ti1 0.000 0.000 0.000
```


# 2
Density functional theory data (PBE) for a relaxed structure of MgTiCl6.

Properties
The calculation puts the magnetization at 0.000 Bohr magnetons per cell. Its raw formation energy is -1590 meV/atom. As for the total energy: -0.1529 Ha/atom.

Structure (CIF):
```
data_MgTiCl6
_chemical_formula_sum 'Mg1 Ti1 Cl6'
_cell_length_a 7.004
_cell_length_b 7.004
_cell_length_c 6.079
_cell_angle_alpha 98.01
_cell_angle_beta 98.01
_cell_angle_gamma 128.56
_symmetry_space_group_name_H-M 'P 1'
_symmetry_Int_Tables_number 1
loop_
_symmetry_equiv_pos_as_xyz
'x,y,z'
loop_
_atom_site_label
_atom_site_fract_x
_atom_site_fract_y
_atom_site_fract_z
Cl1 0.872 0.608 0.740
Cl2 0.608 0.872 0.740
Mg1 0.000 0.000 0.000
Cl3 0.392 0.128 0.260
Ti1 0.500 0.500 0.500
Cl4 0.264 0.264 0.736
Cl5 0.736 0.736 0.264
Cl6 0.128 0.392 0.260
```